# 1
8
Lattice="5.214 0.000 0.000 0.000 7.238 0.000 0.000 0.000 2.650" Properties=species:S:1:pos:R:3 comment="PBE ZnNi2Ir, relaxed" spacegroup="Cmmm (65)" pbc="T T T"
Zn 0.000 0.000 0.000
Zn 2.607 3.619 0.000
Ni 1.304 1.809 1.325
Ni 1.304 5.428 1.325
Ni 3.911 1.809 1.325
Ni 3.911 5.428 1.325
Ir 0.000 3.619 0.000
Ir 2.607 0.000 0.000

=====

# 2
12
Lattice="2.868 0.000 0.000 -1.434 2.483 0.000 0.000 0.000 28.252" Properties=species:S:1:pos:R:3 comment="PBE AlGa2Os, relaxed" spacegroup="R-3m (166)" pbc="T T T"
Al 0.000 0.000 0.000
Al 0.000 1.656 18.835
Al 1.434 0.828 9.417
Ga 0.000 0.000 2.651
Ga 0.000 0.000 25.601
Ga 0.000 1.656 16.184
Ga 0.000 1.656 21.486
Ga 1.434 0.828 6.767
Ga 1.434 0.828 12.068
Os 0.000 0.000 14.126
Os 0.000 1.656 4.709
Os 1.434 0.828 23.543

=====

# 3
15
Lattice="3.990 2.304 6.716 -3.990 2.304 6.716 0.000 -4.607 6.716" Properties=species:S:1:pos:R:3 comment="PBE Na3Y3PuS8, relaxed" spacegroup="R-3m (166)" e_form_raw_ev_per_atom=-1.74 pbc="T T T"
Na -1.995 -1.152 6.716
Na -1.995 1.152 13.432
Na 0.000 2.304 6.716
Y -3.990 0.000 10.074
Y -1.995 1.152 3.358
Y 1.995 1.152 3.358
Pu 0.000 0.000 10.074
S 0.000 0.000 4.881
S -1.955 -1.129 11.549
S 0.000 -2.257 8.600
S -1.955 1.129 8.600
S 1.955 -1.129 11.549
S 0.000 2.257 11.549
S 1.955 1.129 8.600
S 0.000 0.000 15.268

=====

# 4
16
Lattice="4.407 0.000 0.000 0.000 4.407 0.000 0.000 0.000 17.284" Properties=species:S:1:pos:R:3 comment="PBE BeZnIn2, relaxed" spacegroup="I-42d (122)" pbc="T T T"
Be 0.000 0.000 0.000
Be 0.000 2.204 4.321
Be 2.204 0.000 12.963
Be 2.204 2.204 8.642
Zn 0.000 0.000 8.642
Zn 0.000 2.204 12.963
Zn 2.204 0.000 4.321
Zn 2.204 2.204 0.000
In 1.024 1.102 2.160
In 1.102 3.228 6.481
In 1.102 3.383 15.123
In 1.179 1.102 10.802
In 3.228 3.306 10.802
In 3.306 1.024 15.123
In 3.306 1.179 6.481
In 3.383 3.306 2.160

=====

# 5
12
Lattice="3.610 -6.269 0.000 3.610 6.269 0.000 -2.419 0.000 7.313" Properties=species:S:1:pos:R:3 comment="PBE Ac3TbDy2Se6, relaxed" spacegroup="C2/m (12)" e_form_raw_ev_per_atom=-1.81 pbc="T T T"
Ac 0.000 0.000 0.000
Ac 3.610 2.083 0.000
Ac 3.610 -2.083 0.000
Tb 2.400 0.000 3.656
Dy 2.400 4.180 3.656
Dy 2.400 -4.180 3.656
Se 1.196 2.098 2.047
Se -0.019 0.000 5.263
Se 1.196 -2.098 2.047
Se 3.604 2.098 5.266
Se 4.819 0.000 2.050
Se 3.604 -2.098 5.266

=====

# 6
8
Lattice="3.353 0.000 0.000 0.000 4.397 0.000 0.000 0.000 9.067" Properties=species:S:1:pos:R:3 comment="PBE YFe2Ir, relaxed" spacegroup="Immm (71)" pbc="T T T"
Y 0.000 0.000 0.000
Y 1.677 2.198 4.534
Fe 0.000 2.198 2.108
Fe 0.000 2.198 6.959
Fe 1.677 0.000 2.425
Fe 1.677 0.000 6.642
Ir 0.000 0.000 4.534
Ir 1.677 2.198 0.000

=====

# 7
5
Lattice="3.593 0.000 0.000 0.000 3.593 0.000 0.000 0.000 4.041" Properties=species:S:1:pos:R:3 comment="PBE NbCoNi2H, relaxed" spacegroup="P4/mmm (123)" relative_energy_mev_per_atom=0 pbc="T T T"
Nb 0.000 0.000 0.000
Co 1.797 1.797 0.000
Ni 0.000 1.797 2.020
Ni 1.797 0.000 2.020
H 0.000 0.000 2.020

=====

Theoretical density in g/cm3, matching the order above: 12.5; 8.8; 3.7; 6.0; 8.2; 9.8; 8.6
Magnetization in μB per atom, matching the order above: 0.0023; 0.0000; 0.2667; 0.0000; 0.0000; 1.5016; 0.0000
Calculated total energy in eV per atom, matching the order above: -5.547; -5.161; -6.455; -2.224; -5.729; -8.051; -6.525